Density functional theory data (SCAN) for a PBEsol-optimized structure of IrPbW.

Cell lengths 4.377, 4.377, 4.377 Å; angles 60.00, 60.00, 60.00 degrees
Sites, in units of the cell vectors:
Ir  0.250  0.250  0.250
Pb  0.000  0.000  0.000
W  0.500  0.500  0.500

Values from the calculation:
size of the total moment: 0.0 μB per formula unit
symmetry: F-43m
ΔH_f (0 K): 1.571 eV/f.u.